Entry 1:
The following is a PBE calculation of a geometry-optimized H2Se2S7 structure, from Alexandria.

Computed properties:
**DOS at the Fermi energy**: 3.63 states/eV/f.u.
**Energy**: -3.62 eV/atom

a = 5.615 Å, b = 8.311 Å, c = 8.726 Å
α = 63.01°, β = 87.41°, γ = 45.11°
Element x y z (fractional)
1 S 0.717 0.452 0.512
2 Se 0.376 0.218 0.872
3 S 0.266 0.067 0.468
4 S 0.272 0.575 0.042
5 Se 0.624 0.782 0.128
6 S 0.283 0.548 0.488
7 S 0.734 0.933 0.532
8 S 0.000 0.000 0.000
9 H 0.964 0.273 0.142
10 H 0.036 0.727 0.858
11 S 0.728 0.425 0.958

Entry 2:
The following is a PBE calculation of a geometry-optimized FeTc3H structure, from Alexandria.

Computed properties:
**DOS at the Fermi energy**: 4.07 states/eV/f.u.
**Energy**: -8.44 eV/atom
**ΔE to the lowest computed polymorph**: 0 meV per atom

a = 3.845 Å, b = 3.845 Å, c = 3.845 Å
α = 90.00°, β = 90.00°, γ = 90.00°
Element x y z (fractional)
1 Tc 0.000 0.000 0.500
2 Tc 0.000 0.500 0.000
3 Tc 0.500 0.000 0.000
4 H 0.000 0.000 0.000
5 Fe 0.500 0.500 0.500

Entry 3:
The following is a PBE calculation of a geometry-optimized PmPrYCd structure, from Alexandria.

Computed properties:
**DOS at the Fermi energy**: 5.79 states/eV/f.u.
**Energy**: -4.26 eV/atom
**ΔE to the lowest computed polymorph**: 126 meV per atom
**Formation enthalpy at 0 K**: -0.03 eV/atom

a = 5.581 Å, b = 5.581 Å, c = 5.581 Å
α = 60.00°, β = 60.00°, γ = 60.00°
Element x y z (fractional)
1 Pr 0.000 0.000 0.000
2 Y 0.750 0.750 0.750
3 Cd 0.250 0.250 0.250
4 Pm 0.500 0.500 0.500

Entry 4:
The following is a PBE calculation of a geometry-optimized MnTl4Fe structure, from Alexandria.

Computed properties:
**DOS at the Fermi energy**: 7.63 states/eV/f.u.
**Energy**: -3.57 eV/atom
**Formation enthalpy at 0 K**: 0.95 eV/atom

a = 6.158 Å, b = 6.158 Å, c = 6.158 Å
α = 60.00°, β = 60.00°, γ = 60.00°
Element x y z (fractional)
1 Mn 0.000 0.000 0.000
2 Tl 0.375 0.875 0.375
3 Tl 0.875 0.375 0.375
4 Tl 0.375 0.375 0.375
5 Tl 0.375 0.375 0.875
6 Fe 0.750 0.750 0.750

Entry 5:
The following is a PBE calculation of a geometry-optimized GaPdS3 structure, from Alexandria.

Computed properties:
**DOS at the Fermi energy**: 3.11 states/eV/f.u.
**Formation energy (no corrections)**: -26.90 kJ/mol of atoms
**Energy**: -4.40 eV/atom
**ΔE to the lowest computed polymorph**: 0 meV per atom

a = 3.686 Å, b = 7.221 Å, c = 7.221 Å
α = 135.11°, β = 90.00°, γ = 90.00°
Element x y z (fractional)
1 S 0.500 0.189 0.294
2 S 0.500 0.706 0.811
3 Ga 0.500 0.097 0.903
4 Pd 0.000 0.444 0.556
5 S 0.000 0.192 0.808

Entry 6:
The following is a PBE calculation of a geometry-optimized BeTlP2 structure, from Alexandria.

Computed properties:
**DOS at the Fermi energy**: 1.94 states/eV/f.u.
**Energy**: -3.30 eV/atom
**ΔE to the lowest computed polymorph**: 862 meV per atom
**Formation enthalpy at 0 K**: 0.92 eV/atom

a = 4.422 Å, b = 4.422 Å, c = 3.659 Å
α = 90.00°, β = 90.00°, γ = 90.00°
Element x y z (fractional)
1 P 0.000 0.000 0.000
2 P 0.500 0.500 0.000
3 Tl 0.500 0.000 0.500
4 Be 0.000 0.500 0.500

Entry 7:
The following is a PBE calculation of a geometry-optimized NbCr2Ni2 structure, from Alexandria.

Computed properties:
**DOS at the Fermi energy**: 4.61 states/eV/f.u.
**Energy**: -8.05 eV/atom
**Formation enthalpy at 0 K**: 0.13 eV/atom

a = 7.115 Å, b = 7.115 Å, c = 2.518 Å
α = 90.00°, β = 90.00°, γ = 90.00°
Element x y z (fractional)
1 Cr 0.327 0.173 0.500
2 Ni 0.621 0.121 0.000
3 Nb 0.500 0.500 0.000
4 Ni 0.379 0.879 0.000
5 Cr 0.173 0.673 0.500
6 Cr 0.673 0.827 0.500
7 Ni 0.879 0.621 0.000
8 Cr 0.827 0.327 0.500
9 Nb 0.000 0.000 0.000
10 Ni 0.121 0.379 0.000

Entry 8:
The following is a PBE calculation of a geometry-optimized Tb6ZnCo2 structure, from Alexandria.

Computed properties:
**DOS at the Fermi energy**: 11.17 states/eV/f.u.
**Energy**: -4.88 eV/atom
**ΔE to the lowest computed polymorph**: 128 meV per atom
**Formation enthalpy at 0 K**: -0.07 eV/atom

a = 5.015 Å, b = 5.544 Å, c = 8.872 Å
α = 80.84°, β = 90.00°, γ = 116.89°
Element x y z (fractional)
1 Tb 0.039 0.077 0.163
2 Tb 0.281 0.562 0.841
3 Tb 0.961 0.923 0.837
4 Tb 0.654 0.309 0.612
5 Co 0.606 0.212 0.911
6 Zn 0.000 0.000 0.500
7 Tb 0.346 0.691 0.388
8 Tb 0.719 0.438 0.159
9 Co 0.394 0.788 0.089

Entry 9:
The following is a PBE calculation of a geometry-optimized Ba3Sr3Tl2 structure, from Alexandria.

Computed properties:
**DOS at the Fermi energy**: 11.92 states/eV/f.u.
**Energy**: -2.11 eV/atom
**ΔE to the lowest computed polymorph**: 25 meV per atom
**Formation enthalpy at 0 K**: -0.16 eV/atom

a = 5.846 Å, b = 7.494 Å, c = 19.513 Å
α = 90.00°, β = 90.00°, γ = 112.96°
Element x y z (fractional)
1 Ba 0.942 0.885 0.117
2 Tl 0.199 0.397 0.115
3 Sr 0.655 0.309 0.470
4 Tl 0.199 0.397 0.385
5 Ba 0.058 0.115 0.617
6 Sr 0.345 0.691 0.530
7 Ba 0.358 0.717 0.750
8 Tl 0.801 0.603 0.885
9 Sr 0.655 0.309 0.030
10 Ba 0.942 0.885 0.383
11 Ba 0.058 0.115 0.883
12 Sr 0.345 0.691 0.970
13 Tl 0.801 0.603 0.615
14 Ba 0.642 0.283 0.250
15 Sr 0.336 0.673 0.250
16 Sr 0.664 0.327 0.750

Entry 10:
The following is a PBE calculation of a geometry-optimized Dy2TmAl structure, from Alexandria.

Computed properties:
**DOS at the Fermi energy**: 4.12 states/eV/f.u.
**Energy**: -4.55 eV/atom
**ΔE to the lowest computed polymorph**: 0 meV per atom
**Formation enthalpy at 0 K**: -0.20 eV/atom

a = 5.281 Å, b = 6.797 Å, c = 6.797 Å
α = 120.12°, β = 90.00°, γ = 90.00°
Element x y z (fractional)
1 Al 0.000 0.335 0.665
2 Tm 0.500 0.175 0.349
3 Tm 0.500 0.651 0.825
4 Dy 0.500 0.175 0.825
5 Dy 0.000 0.825 0.175
6 Al 0.500 0.666 0.334
7 Dy 0.000 0.825 0.651
8 Dy 0.000 0.349 0.175

Entry 11:
The following is a PBE calculation of a geometry-optimized Ce2SmGa2Pt7 structure, from Alexandria.

Computed properties:
**DOS at the Fermi energy**: 14.62 states/eV/f.u.
**Energy**: -6.34 eV/atom
**Formation enthalpy at 0 K**: -0.93 eV/atom

a = 4.114 Å, b = 4.114 Å, c = 14.196 Å
α = 83.68°, β = 83.68°, γ = 89.28°
Element x y z (fractional)
1 Ga 0.596 0.596 0.744
2 Pt 0.559 0.059 0.845
3 Pt 0.367 0.367 0.431
4 Pt 0.441 0.941 0.155
5 Pt 0.941 0.441 0.155
6 Ce 0.121 0.121 0.643
7 Pt 0.059 0.559 0.845
8 Pt 0.633 0.633 0.569
9 Sm 0.000 0.000 0.000
10 Pt 0.500 0.500 0.000
11 Ga 0.404 0.404 0.256
12 Ce 0.879 0.879 0.357